Entry 1:
# PaAlTcPd

PaAlTcPd after structural relaxation (GGA-PBE, Alexandria via LeMat-Bulk).

Calculated values
electronic total energy = -30.35 eV/f.u.
formation enthalpy at 0 K = -388 meV/atom

Cell: 6.6287 6.6287 6.6287 Å, 90.00 90.00 90.00°
Space group F-43m (No. 216)
Unique sites:
Pa 0.0000 0.0000 0.0000 x4
Al 0.0000 0.0000 0.5000 x4
Tc 0.2500 0.2500 0.2500 x4
Pd 0.2500 0.2500 0.7500 x4

***

Entry 2:
# PaAlVPd

PaAlVPd after structural relaxation (GGA-PBE, Alexandria via LeMat-Bulk).

Calculated values
electronic total energy = -28.27 eV/f.u.
formation enthalpy at 0 K = -181 meV/atom

Cell: 6.5831 6.5831 6.5831 Å, 90.00 90.00 90.00°
Space group F-43m (No. 216)
Unique sites:
Pa 0.0000 0.0000 0.0000 x4
Al 0.0000 0.0000 0.5000 x4
V 0.2500 0.2500 0.2500 x4
Pd 0.2500 0.2500 0.7500 x4

***

Entry 3:
# PaAl2ZnPd4

PaAl2ZnPd4 after structural relaxation (GGA-PBE, Alexandria via LeMat-Bulk).

Calculated values
electronic total energy = -44.35 eV/f.u.
formation enthalpy at 0 K = -665 meV/atom

Cell: 4.2970 4.2970 25.4033 Å, 90.00 90.00 120.00°
Space group R-3m (No. 166, hexagonal axes)
Unique sites:
Pa 0.0000 0.0000 0.0000 x3
Al 0.0000 0.0000 0.2388 x6
Zn 0.0000 0.0000 0.5000 x3
Pd 0.0000 0.0000 0.1309 x6
Pd 0.0000 0.0000 0.3975 x6

***

Entry 4:
# PmPaAl4

PmPaAl4 after structural relaxation (GGA-PBE, Alexandria via LeMat-Bulk).

Calculated values
electronic total energy = -31.21 eV/f.u.
formation enthalpy at 0 K = -332 meV/atom

Cell: 7.9056 7.9056 7.9056 Å, 90.00 90.00 90.00°
Space group F-43m (No. 216)
Unique sites:
Pm 0.0000 0.0000 0.0000 x4
Pa 0.2500 0.2500 0.7500 x4
Al 0.1241 0.1241 0.3759 x16

***

Entry 5:
# PmPaAl2

PmPaAl2 after structural relaxation (GGA-PBE, Alexandria via LeMat-Bulk).

Calculated values
electronic total energy = -22.25 eV/f.u.
excess energy over the best structure of this formula in the dataset = 85 meV/atom
formation enthalpy at 0 K = -129 meV/atom

Cell: 5.5504 5.5504 3.0831 Å, 90.00 90.00 90.00°
Space group P4/mmm (No. 123)
Unique sites:
Pm 0.0000 0.0000 0.0000 x1
Pa 0.5000 0.5000 0.0000 x1
Al 0.0000 0.5000 0.5000 x2

***

Entry 6:
# PmPaAl2

PmPaAl2 after structural relaxation (GGA-PBE, Alexandria via LeMat-Bulk).

Calculated values
electronic total energy = -22.59 eV/f.u.
excess energy over the best structure of this formula in the dataset = 0 meV/atom
formation enthalpy at 0 K = -214 meV/atom

Cell: 3.2750 3.2750 8.6815 Å, 90.00 90.00 90.00°
Space group P4/mmm (No. 123)
Unique sites:
Pm 0.0000 0.0000 0.0000 x1
Pa 0.0000 0.0000 0.5000 x1
Al 0.5000 0.5000 0.2574 x2

***

Entry 7:
# PmPaAl2

PmPaAl2 after structural relaxation (GGA-PBE, Alexandria via LeMat-Bulk).

Calculated values
electronic total energy = -21.74 eV/f.u.
excess energy over the best structure of this formula in the dataset = 212 meV/atom
formation enthalpy at 0 K = -2 meV/atom

Cell: 3.2048 3.2048 31.7604 Å, 90.00 90.00 120.00°
Space group R-3m (No. 166, hexagonal axes)
Unique sites:
Pm 0.0000 0.0000 0.0000 x3
Pa 0.0000 0.0000 0.5000 x3
Al 0.0000 0.0000 0.2481 x6

***

Entry 8:
# PmPa2Al9

PmPa2Al9 after structural relaxation (GGA-PBE, Alexandria via LeMat-Bulk).

Calculated values
electronic total energy = -61.01 eV/f.u.
formation enthalpy at 0 K = -298 meV/atom

Cell: 4.3122 4.3122 12.9797 Å, 90.00 90.00 90.00°
Space group P4/mmm (No. 123)
Unique sites:
Pm 0.0000 0.0000 0.0000 x1
Pa 0.0000 0.0000 0.3343 x2
Al 0.0000 0.5000 0.1689 x4
Al 0.0000 0.5000 0.5000 x2
Al 0.5000 0.5000 0.0000 x1
Al 0.5000 0.5000 0.3342 x2

***

Question: Number 5 is which compound?
Answer: PmPaAl2

***

Question: Look up the electronic total energy of the second one.
Answer: -28.27 eV/f.u.